(1)
CdSnSb2, relaxed, DFT PBE; magnetization = 0.00 μB/atom; ΔE_f (raw) = 0.13 eV/atom; E = -3.1602 eV per atom; volume = 26.911 Å³ per atom; ΔE to the lowest computed polymorph = 175 meV per atom
1.0
3.994 0.000 0.000
0.000 3.994 0.000
0.000 0.000 6.748
Cd Sn Sb
1 1 2
Cartesian
0.000 0.000 0.000
0.000 0.000 3.374
1.997 1.997 1.554
1.997 1.997 5.194

(2)
BaZn9Ga4, relaxed, DFT PBE; magnetization = 0.00 μB/atom; ΔE_f = -0.137 eV/atom; E = -1.9582 eV per atom; volume = 18.121 Å³ per atom
1.0
6.218 -6.412 0.000
6.218 6.412 0.000
-6.211 0.000 6.363
Ba Zn Ga
2 18 8
Cartesian
6.218 3.209 0.000
6.218 -3.209 0.000
-3.106 0.000 3.182
-0.962 1.616 3.189
-4.576 0.000 5.388
1.581 2.227 3.189
3.112 1.521 0.949
-1.635 0.000 5.406
-0.962 -1.616 3.189
3.112 -1.521 0.949
4.643 2.227 3.174
3.112 0.000 3.182
1.581 -2.227 3.189
3.111 1.521 5.415
7.186 1.616 3.174
7.859 0.000 0.957
3.111 -1.521 5.415
4.643 -2.227 3.174
10.800 0.000 0.975
7.186 -1.616 3.174
3.115 4.088 1.579
0.880 0.000 1.598
3.108 4.088 4.785
0.886 0.000 4.759
5.338 0.000 1.605
3.115 -4.088 1.579
5.343 0.000 4.766
3.108 -4.088 4.785

(3)
Ca2MgBeAu6, relaxed, DFT PBE; magnetization = 0.00 μB/atom; ΔE_f = -0.457 eV/atom; E = -3.3554 eV per atom; volume = 21.901 Å³ per atom
1.0
5.469 -3.136 0.000
5.469 3.136 0.000
-3.235 0.000 6.385
Ca Mg Be Au
2 1 1 6
Cartesian
2.106 0.000 1.205
5.596 0.000 5.181
5.469 0.000 0.000
-1.618 0.000 3.193
2.666 1.444 4.144
0.180 0.000 4.664
5.037 1.444 2.241
2.666 -1.444 4.144
7.522 0.000 1.722
5.037 -1.444 2.241

(4)
FeTcAg, relaxed, DFT PBE; magnetization = 0.53 μB/atom; ΔE_f = 0.825 eV/atom; E = -6.4013 eV per atom; volume = 16.254 Å³ per atom; ΔE to the lowest computed polymorph = 464 meV per atom
1.0
5.799 0.000 0.000
0.000 5.799 0.000
0.000 0.000 5.799
Fe Tc Ag
4 4 4
Cartesian
0.000 0.000 0.000
0.000 2.900 2.900
2.900 0.000 2.900
2.900 2.900 0.000
1.450 1.450 1.450
1.450 4.349 4.349
4.349 1.450 4.349
4.349 4.349 1.450
1.450 1.450 4.349
1.450 4.349 1.450
4.349 1.450 1.450
4.349 4.349 4.349

(5)
Ca2Al4SnAu3, relaxed, DFT PBE; magnetization = 0.00 μB/atom; ΔE_f = -0.547 eV/atom; E = -3.8274 eV per atom; volume = 21.257 Å³ per atom
1.0
4.343 0.000 0.000
0.000 4.343 0.000
0.000 0.000 11.270
Ca Al Sn Au
2 4 1 3
Cartesian
0.000 2.172 2.715
2.172 0.000 8.555
0.000 0.000 0.000
0.000 2.172 7.323
2.172 0.000 3.946
2.172 2.172 0.000
0.000 0.000 5.635
0.000 2.172 9.818
2.172 0.000 1.452
2.172 2.172 5.635

(6)
VTeAs2, relaxed, DFT PBE; magnetization = 0.43 μB/atom; ΔE_f (raw) = 0.31 eV/atom; E = -5.0761 eV per atom; volume = 27.745 Å³ per atom
1.0
6.048 0.000 0.000
0.000 6.048 0.000
0.000 0.000 12.135
V Te As
4 4 8
Cartesian
0.000 0.000 0.000
0.000 3.024 3.034
3.024 0.000 9.102
3.024 3.024 6.068
0.000 0.000 6.068
0.000 3.024 9.102
3.024 0.000 3.034
3.024 3.024 0.000
1.115 1.512 1.517
1.512 4.139 4.551
1.512 4.933 10.618
1.909 1.512 7.585
4.139 4.536 7.585
4.536 1.115 10.618
4.536 1.909 4.551
4.933 4.536 1.517

(7)
TmGaSiNi3, relaxed, DFT PBE; magnetization = 0.00 μB/atom; ΔE_f (raw) = -0.41 eV/atom; E = -5.4585 eV per atom; volume = 15.396 Å³ per atom
1.0
3.082 -5.649 0.000
3.082 5.649 0.000
0.000 0.000 5.306
Tm Ga Si Ni
2 2 2 6
Cartesian
3.082 3.315 3.979
3.082 -3.315 1.326
3.082 0.516 3.979
3.082 -0.516 1.326
3.082 4.167 1.326
3.082 -4.167 3.979
1.211 0.000 0.000
1.211 0.000 2.653
3.082 1.900 1.326
3.082 -1.900 3.979
4.953 0.000 0.000
4.953 0.000 2.653

(8)
Ba2NaLi9, relaxed, DFT PBE; magnetization = 0.00 μB/atom; ΔE_f = 0.055 eV/atom; E = -1.8106 eV per atom; volume = 29.351 Å³ per atom
1.0
3.203 1.849 9.911
-3.203 1.849 9.911
0.000 -3.698 9.911
Ba Na Li
2 1 9
Cartesian
0.000 0.000 4.063
0.000 0.000 25.669
0.000 0.000 0.000
-1.601 -0.924 12.242
0.000 0.000 9.885
0.000 -1.849 17.491
-1.601 0.924 17.491
0.000 0.000 14.866
1.601 -0.924 12.242
0.000 1.849 12.242
0.000 0.000 19.848
1.601 0.924 17.491

(9)
BiSb2IF, relaxed, DFT PBE; magnetization = 0.00 μB/atom; ΔE_f (raw) = -0.05 eV/atom; E = -3.1642 eV per atom; volume = 28.043 Å³ per atom; ΔE to the lowest computed polymorph = 0 meV per atom
1.0
4.765 0.000 0.000
0.000 4.765 0.000
0.000 0.000 6.175
Bi Sb I F
1 2 1 1
Cartesian
0.000 0.000 0.000
0.000 2.383 3.088
2.383 0.000 3.088
2.383 2.383 0.000
2.383 2.383 3.088

(10)
SiPtSe3, relaxed, DFT PBE; magnetization = 0.00 μB/atom; ΔE_f (raw) = 0.77 eV/atom; E = -3.6146 eV per atom; volume = 21.240 Å³ per atom; ΔE to the lowest computed polymorph = 127 meV per atom
1.0
4.736 0.000 0.000
0.000 4.736 0.000
0.000 0.000 4.736
Si Pt Se
1 1 3
Cartesian
0.000 0.000 0.000
2.368 2.368 2.368
0.000 0.000 2.368
0.000 2.368 0.000
2.368 0.000 0.000

(11)
LaPr2H6, relaxed, DFT PBE; magnetization = 0.00 μB/atom; E = -4.4845 eV per atom; volume = 14.383 Å³ per atom
1.0
-1.967 1.967 8.362
1.967 -1.967 8.362
1.967 1.967 -8.362
La Pr H
1 2 6
Cartesian
0.000 0.000 0.000
0.000 0.000 5.553
0.000 0.000 11.170
1.967 0.000 1.430
1.967 0.000 4.181
1.967 0.000 6.932
0.000 1.967 1.430
0.000 1.967 4.181
0.000 1.967 6.932

(12)
LaTiCoTe2, relaxed, DFT PBE; magnetization = 0.35 μB/atom; ΔE_f (raw) = -0.35 eV/atom; E = -5.5957 eV per atom; volume = 24.413 Å³ per atom
1.0
5.299 0.000 0.000
0.000 5.299 0.000
0.000 0.000 4.347
La Ti Co Te
1 1 1 2
Cartesian
0.000 0.000 0.000
2.650 2.650 0.000
2.650 2.650 2.173
0.000 2.650 2.173
2.650 0.000 2.173

(13)
YTmRuPt, relaxed, DFT PBE; magnetization = 0.00 μB/atom; ΔE_f = -0.863 eV/atom; E = -7.4261 eV per atom; volume = 20.082 Å³ per atom; ΔE to the lowest computed polymorph = 0 meV per atom
1.0
3.455 0.000 0.000
0.000 3.455 0.000
0.000 0.000 6.729
Y Tm Ru Pt
1 1 1 1
Cartesian
0.000 0.000 0.000
0.000 0.000 3.291
1.728 1.728 1.687
1.728 1.728 4.964

(14)
Zr4ScFe, relaxed, DFT PBE; magnetization = 0.33 μB/atom; ΔE_f = 0.525 eV/atom; E = -7.6398 eV per atom; volume = 22.610 Å³ per atom
1.0
0.000 4.078 4.078
4.078 0.000 4.078
4.078 4.078 0.000
Zr Sc Fe
4 1 1
Cartesian
1.023 1.023 1.023
3.055 3.055 1.023
3.055 1.023 3.055
1.023 3.055 3.055
4.078 4.078 4.078
6.117 6.117 6.117

(15)
TbPm2TmS6, relaxed, DFT PBE; magnetization = 0.00 μB/atom; ΔE_f (raw) = -2.04 eV/atom; E = -6.3798 eV per atom; volume = 26.350 Å³ per atom
1.0
3.506 2.024 6.189
-3.506 2.024 6.189
0.000 -4.048 6.189
Tb Pm Tm S
1 2 1 6
Cartesian
0.000 0.000 0.000
0.000 0.000 5.462
0.000 0.000 14.767
0.000 0.000 9.254
-2.071 0.092 7.461
-1.401 -1.898 10.541
0.956 -1.840 7.461
-0.943 2.162 10.541
1.115 1.748 7.461
2.344 -0.265 10.541

(16)
VTe2C, relaxed, DFT PBE; magnetization = 1.16 μB/atom; ΔE_f (raw) = 1.08 eV/atom; E = -5.0805 eV per atom; volume = 27.147 Å³ per atom
1.0
4.319 0.000 0.000
-2.160 3.741 0.000
0.000 0.000 20.161
V Te C
3 6 3
Cartesian
0.000 0.000 0.000
0.000 2.494 13.441
2.160 1.247 6.720
0.000 0.000 8.070
0.000 0.000 12.092
0.000 2.494 1.349
0.000 2.494 5.371
2.160 1.247 14.790
2.160 1.247 18.812
0.000 0.000 10.081
0.000 2.494 3.360
2.160 1.247 16.801

(17)
NpHg2Pb2O6, relaxed, DFT PBE; magnetization = 0.00 μB/atom; ΔE_f (raw) = -1.41 eV/atom; E = -6.0162 eV per atom; volume = 21.988 Å³ per atom
1.0
3.022 -5.813 0.000
3.022 5.813 0.000
-1.536 0.000 6.884
Np Hg Pb O
1 2 2 6
Cartesian
0.000 0.000 0.000
2.254 3.128 3.442
2.254 -3.128 3.442
3.022 1.823 0.000
3.022 -1.823 0.000
2.237 4.344 1.128
2.271 4.344 5.756
1.837 0.000 0.999
2.671 0.000 5.885
2.237 -4.344 1.128
2.271 -4.344 5.756

(18)
CdGePd3, relaxed, DFT PBE; magnetization = 0.00 μB/atom; ΔE_f = -0.365 eV/atom; E = -4.5872 eV per atom; volume = 16.513 Å³ per atom; ΔE to the lowest computed polymorph = 0 meV per atom
1.0
5.405 0.000 0.000
2.691 4.940 0.000
2.596 -0.154 6.185
Cd Ge Pd
2 2 6
Cartesian
0.000 0.000 0.000
3.577 1.224 3.409
5.284 4.357 1.292
6.671 2.422 4.616
4.753 3.694 3.622
3.737 2.331 0.865
5.415 0.166 5.141
7.461 3.758 2.605
6.332 1.174 2.362
9.021 2.455 6.000

(19)
CaSm8Ho4, relaxed, DFT PBE; magnetization = 0.00 μB/atom; ΔE_f = 0.041 eV/atom; E = -4.4257 eV per atom; volume = 33.303 Å³ per atom
1.0
5.709 -2.554 0.000
5.709 2.554 0.000
-1.093 0.000 14.844
Ca Sm Ho
1 8 4
Cartesian
0.000 0.000 0.000
0.034 0.000 11.361
2.329 0.000 4.597
3.415 0.000 1.197
4.588 0.000 9.117
5.737 0.000 5.727
6.910 0.000 13.647
7.996 0.000 10.247
10.291 0.000 3.482
1.153 0.000 7.979
3.406 0.000 12.476
6.919 0.000 2.368
9.172 0.000 6.865

(20)
CaPrSn, relaxed, DFT PBE; magnetization = 0.12 μB/atom; ΔE_f = -0.407 eV/atom; E = -4.0016 eV per atom; volume = 34.221 Å³ per atom
1.0
8.969 0.000 0.000
0.000 5.171 0.000
-2.952 0.000 8.854
Ca Pr Sn
4 4 4
Cartesian
0.015 0.000 3.574
1.518 2.586 5.280
4.499 2.586 3.574
6.002 0.000 5.280
1.506 2.586 1.167
0.027 0.000 7.687
5.990 0.000 1.167
4.511 2.586 7.687
-1.469 2.586 6.415
3.002 0.000 2.440
3.016 0.000 6.415
7.486 2.586 2.440